[1]
Na2Cu4Sb5 | PBE | relaxed

Geometry as POSCAR:
```
Na2Cu4Sb5
1.0
6.410 -3.063 0.000
6.410 3.063 0.000
-4.579 0.000 6.398
Na Cu Sb
2 4 5
Cartesian
-0.902 0.000 1.443 Na
9.143 0.000 4.955 Na
3.583 0.000 0.101 Cu
3.349 0.000 4.170 Cu
4.892 0.000 2.228 Cu
4.659 0.000 6.298 Cu
2.368 1.474 2.013 Sb
5.874 1.474 4.386 Sb
6.410 0.000 0.000 Sb
2.368 -1.474 2.013 Sb
5.874 -1.474 4.386 Sb
```

## Properties
Its mass density is 6007 kg/m³. The calculation puts the formation energy without anion corrections at -9 meV/atom.

[2]
HfRuRh2 | PBE | relaxed

Geometry as POSCAR:
```
HfRuRh2
1.0
3.842 0.000 0.000
0.000 3.842 0.000
0.000 0.000 18.238
Hf Ru Rh
4 4 8
Cartesian
0.000 0.000 0.000 Hf
0.000 1.921 4.560 Hf
1.921 0.000 13.679 Hf
1.921 1.921 9.119 Hf
0.000 0.000 9.119 Ru
0.000 1.921 13.679 Ru
1.921 0.000 4.560 Ru
1.921 1.921 0.000 Ru
0.908 0.961 11.399 Rh
0.961 2.829 15.959 Rh
0.961 2.935 6.839 Rh
1.014 0.961 2.280 Rh
2.829 2.882 2.280 Rh
2.882 0.908 6.839 Rh
2.882 1.014 15.959 Rh
2.935 2.882 11.399 Rh
```

## Properties
Its mass density is 11973 kg/m³. The total energy comes out at -8.5163 eV per atom.

[3]
BaSr2Ca | PBE | relaxed

Geometry as POSCAR:
```
BaSr2Ca
1.0
4.971 0.000 0.000
0.000 6.532 0.000
0.000 0.000 12.990
Ba Sr Ca
2 4 2
Cartesian
0.000 0.000 0.000 Ba
2.486 3.266 0.000 Ba
0.000 0.000 6.735 Sr
0.000 3.266 3.423 Sr
2.486 0.000 3.423 Sr
2.486 3.266 6.735 Sr
0.000 3.266 9.812 Ca
2.486 0.000 9.812 Ca
```

## Properties
The calculation puts the offset from the most stable computed form at 7 meV per atom. Its mass density is 2776 kg/m³.

[4]
CrMoHRh2 | PBE | relaxed

Geometry as POSCAR:
```
CrMoHRh2
1.0
3.809 0.000 0.000
0.000 3.809 0.000
0.000 0.000 4.014
Cr Mo H Rh
1 1 1 2
Cartesian
0.000 0.000 0.000 Cr
1.905 1.905 0.000 Mo
1.905 1.905 2.007 H
0.000 1.905 2.007 Rh
1.905 0.000 2.007 Rh
```

## Properties
The calculation puts the offset from the most stable computed form at 69 meV per atom. Its mass density is 10113 kg/m³.